Entry i
Material: MnHgCl2
Method: DFT, PBE
State: relaxed

abc: 3.813 3.813 10.651
angles: 90.00 90.00 124.35
Site moments in Bohr magnetons follow the coordinates.
Element x y z (fractional)
Cl  0.000  0.000  0.904  0.09
Cl  0.000  0.000  0.596  0.09
Hg  0.500  0.500  0.250  0.00
Mn  0.500  0.500  0.750  4.39

Values from the calculation:
Fermi-level density of states = 0.875 states/eV/f.u.
ρ = 4.24 g/cm³
magnetic moment = 4.976 μB/cell
calculated volume = 127.88 Å³ per cell


Entry ii
Material: MnHgCl2
Method: DFT, PBE
State: relaxed

abc: 3.688 3.688 21.461
angles: 90.00 90.00 120.00
Site moments in Bohr magnetons follow the coordinates.
Element x y z (fractional)
Cl  0.667  0.333  0.565  0.10
Cl  0.333  0.667  0.065  0.10
Cl  0.333  0.667  0.435  0.10
Cl  0.667  0.333  0.935  0.10
Mn  0.000  0.000  0.000  4.44
Mn  0.000  0.000  0.500  4.44
Hg  0.333  0.667  0.250  0.00
Hg  0.667  0.333  0.750  0.00

Values from the calculation:
ρ = 4.29 g/cm³
magnetic moment = 9.999 μB/cell
calculated volume = 252.84 Å³ per cell


Entry iii
Material: MnHgCl2
Method: DFT, PBE
State: relaxed

abc: 4.822 4.822 3.903
angles: 90.00 90.00 96.66
Site moments in Bohr magnetons follow the coordinates.
Element x y z (fractional)
Mn  0.000  0.500  0.500  4.36
Cl  0.500  0.500  0.000  0.04
Cl  0.000  0.000  0.000  0.04
Hg  0.500  0.000  0.500  0.03

Values from the calculation:
Fermi-level density of states = 1.383 states/eV/f.u.
ρ = 6.01 g/cm³
magnetic moment = 4.813 μB/cell
calculated volume = 90.15 Å³ per cell


Least stable structure: entry iii